VASP calculation (PBE) on a relaxed structure of Pm4Zn3Ge5.

abc: 14.0087 4.4671 11.7775
angles: 90.00 121.30 90.00
Space group C2/m (No. 12)
One atom of each set of equivalent atoms:
Pm  0.1126  0.0000  0.4599
Pm  0.2487  0.5000  0.1670
Zn  0.0000  0.0000  0.0000
Zn  0.0941  0.5000  0.8631
Ge  0.0000  0.5000  0.0000
Ge  0.0656  0.5000  0.6319
Ge  0.2457  0.0000  0.3374

total moment = 0.0 μB/cell
calculated formation energy = -0.3302 eV per atom

VASP calculation (PBE) on a relaxed structure of Ac4SnPb5.

abc: 16.3932 6.1727 6.9762
angles: 90.00 98.97 90.00
Space group C2/m (No. 12)
One atom of each set of equivalent atoms:
Ac  0.0826  0.0000  0.3298
Ac  0.1850  0.5000  0.8021
Sn  0.0000  0.5000  0.5000
Pb  0.0000  0.5000  0.0000
Pb  0.1199  0.0000  0.8662
Pb  0.2012  0.5000  0.3086

total moment = 0.0 μB/cell
calculated formation energy = -0.4563 eV per atom

VASP calculation (PBE) on a relaxed structure of BaNaCdPb.

abc: 8.1328 8.1328 8.1328
angles: 90.00 90.00 90.00
Space group F-43m (No. 216)
One atom of each set of equivalent atoms:
Ba  0.0000  0.0000  0.0000
Na  0.0000  0.0000  0.5000
Cd  0.2500  0.2500  0.2500
Pb  0.2500  0.2500  0.7500

total moment = 0.0 μB/cell
calculated formation energy = -0.2782 eV per atom

VASP calculation (PBE) on a relaxed structure of CsSmHfSe4.

abc: 7.1632 7.3141 10.0446
angles: 90.00 108.77 90.00
Space group P2_1/m (No. 11)
One atom of each set of equivalent atoms:
Cs  0.2373  0.2500  0.4443
Sm  0.2918  0.2500  0.9545
Hf  0.2586  0.7500  0.1589
Se  0.0296  0.7500  0.9158
Se  0.0502  0.7500  0.3158
Se  0.4918  0.5070  0.8068

total moment = 0.0 μB/cell
raw formation energy = -1.5055 eV per atom

VASP calculation (PBE) on a relaxed structure of Tb5PmSm2Y.

abc: 8.7695 8.7695 15.4803
angles: 90.00 90.00 90.00
Space group I4/mcm (No. 140)
One atom of each set of equivalent atoms:
Tb  0.0000  0.0000  0.0000
Tb  0.2096  0.2904  0.1369
Pm  0.0000  0.0000  0.2500
Sm  0.1163  0.3837  0.5000
Y  0.0000  0.5000  0.2500

total moment = 0.0 μB/cell
calculated formation energy = 0.2739 eV per atom

VASP calculation (PBE) on a relaxed structure of MnCrOs2.

abc: 2.9581 4.2232 8.4455
angles: 90.00 90.00 90.00
Space group Imm2 (No. 44)
One atom of each set of equivalent atoms:
Mn  0.0000  0.0000  0.0000
Cr  0.0000  0.5000  0.2829
Os  0.0000  0.0000  0.5253
Os  0.0000  0.5000  0.7527

total moment = 3.0 μB/cell
calculated formation energy = 0.1723 eV per atom

| no. | calculated volume (Å³ per cell) |
| --- | --- |
| 1 | 630 |
| 2 | 697 |
| 3 | 538 |
| 4 | 498 |
| 5 | 1190 |
| 6 | 106 |